# Li2SmInS4

A relaxed structure of Li2SmInS4 (PBE, Alexandria via LeMat-Bulk).

a b c (Å): 6.6233 3.8994 6.6818
angles (deg): 90.00 109.63 90.00
Closest atoms and distances in Å follow each position.
Space group P2/m (No. 10)
Unique sites:
Li 0.0000 0.0000 0.0000  6 S 2.64-2.69
Li 0.0000 0.5000 0.5000  6 S 2.71-2.79
Sm 0.5000 0.0000 0.5000  6 S 2.77-2.80
In 0.5000 0.5000 0.0000  6 S 2.68-2.73
S 0.2420 0.5000 0.2432  3 Li 2.69-2.71, 1 In 2.73, 2 Sm 2.77
S 0.2528 0.0000 0.7680  3 Li 2.64-2.79, 2 In 2.68, 1 Sm 2.80

DFT total energy: -0.17588 Ha/atom
M_tot: 0.00 μB/f.u.
Formation energy (no corrections): -1.311 eV/atom

---

# MnReW3

A relaxed structure of MnReW3 (PBE, Alexandria via LeMat-Bulk).

a b c (Å): 4.4081 4.4081 4.4081
angles (deg): 90.00 90.00 90.00
Closest atoms and distances in Å follow each position.
Space group Pm-3m (No. 221)
Unique sites:
Mn 0.0000 0.0000 0.0000  6 W 2.20
Re 0.5000 0.5000 0.5000  12 W 3.12
W 0.0000 0.0000 0.5000  2 Mn 2.20

DFT total energy: -0.38983 Ha/atom
Formation energy: 1.488 eV/atom
M_tot: 0.00 μB/f.u.